Entry from Alexandria via LeMat-Bulk: CoW3 after structural relaxation (GGA-PBE).

a b c (Å): 4.853 4.853 2.733
angles (deg): 90.00 90.00 110.94
Element x y z (fractional)
Co  0.000  0.000  0.000
W  0.000  0.500  0.500
W  0.500  0.000  0.500
W  0.500  0.500  0.000

Output
Offset from the most stable computed form, meV/atom: 245
Calculated volume, Å³/atom: 15.0
E, eV per atom: -11.162
SG: Cmmm (65)
E_form, eV per atom: 0.33


Entry from Alexandria via LeMat-Bulk: CdCu2Rh2 after structural relaxation (GGA-PBE).

a b c (Å): 7.272 7.272 2.855
angles (deg): 90.00 90.00 90.00
Element x y z (fractional)
Cd  0.000  0.000  0.000
Cd  0.500  0.500  0.000
Cu  0.165  0.335  0.500
Cu  0.335  0.835  0.500
Cu  0.665  0.165  0.500
Cu  0.835  0.665  0.500
Rh  0.131  0.631  0.000
Rh  0.369  0.131  0.000
Rh  0.631  0.869  0.000
Rh  0.869  0.369  0.000

Output
Offset from the most stable computed form, meV/atom: 17
Calculated volume, Å³/atom: 15.1
E, eV per atom: -4.618
SG: P4/mbm (127)
E_form, eV per atom: 0.14


Entry from Alexandria via LeMat-Bulk: Ac2LaTbO6 after structural relaxation (GGA-PBE).

a b c (Å): 6.129 6.340 10.823
angles (deg): 90.00 124.28 90.00
Element x y z (fractional)
Ac  0.236  0.048  0.252
Ac  0.236  0.452  0.752
Ac  0.764  0.548  0.248
Ac  0.764  0.952  0.748
La  0.500  0.000  0.000
La  0.500  0.500  0.500
Tb  0.000  0.000  0.500
Tb  0.000  0.500  0.000
O  0.113  0.203  0.924
O  0.113  0.297  0.424
O  0.232  0.690  0.932
O  0.232  0.810  0.432
O  0.374  0.066  0.741
O  0.374  0.434  0.241
O  0.626  0.566  0.759
O  0.626  0.934  0.259
O  0.768  0.190  0.568
O  0.768  0.310  0.068
O  0.887  0.703  0.576
O  0.887  0.797  0.076

Output
Formation energy (no corrections), eV per atom: -3.3748
Calculated volume, Å³/atom: 17.4
E, eV per atom: -8.127
SG: P2_1/c (14)


Entry from Alexandria via LeMat-Bulk: Dy3Ga2Si4 after structural relaxation (GGA-PBE).

a b c (Å): 5.768 5.768 8.673
angles (deg): 109.88 109.88 40.84
Element x y z (fractional)
Dy  0.000  0.000  0.000
Dy  0.376  0.376  0.303
Dy  0.624  0.624  0.697
Ga  0.333  0.333  0.687
Ga  0.667  0.667  0.313
Si  0.089  0.089  0.417
Si  0.279  0.279  0.946
Si  0.721  0.721  0.054
Si  0.911  0.911  0.583

Output
Formation energy (no corrections), eV per atom: -0.5488
Calculated volume, Å³/atom: 19.5
E, eV per atom: -5.166
SG: C2/m (12)


Entry from Alexandria via LeMat-Bulk: TcOs2Br after structural relaxation (GGA-PBE).

a b c (Å): 2.781 2.781 10.020
angles (deg): 90.00 90.00 119.87
Element x y z (fractional)
Tc  0.000  0.000  0.000
Os  0.000  0.000  0.556
Os  0.500  0.500  0.779
Br  0.500  0.500  0.250

Output
Formation energy (no corrections), eV per atom: 1.0142
Offset from the most stable computed form, meV/atom: 326
Calculated volume, Å³/atom: 16.8
E, eV per atom: -7.610
SG: Cmm2 (35)


Entry from Alexandria via LeMat-Bulk: Dy3Ni7Au2 after structural relaxation (GGA-PBE).

a b c (Å): 8.868 8.868 8.868
angles (deg): 33.52 33.52 33.52
Element x y z (fractional)
Dy  0.000  0.000  0.000
Dy  0.140  0.140  0.140
Dy  0.860  0.860  0.860
Ni  0.086  0.590  0.590
Ni  0.410  0.410  0.914
Ni  0.410  0.914  0.410
Ni  0.500  0.500  0.500
Ni  0.590  0.086  0.590
Ni  0.590  0.590  0.086
Ni  0.914  0.410  0.410
Au  0.334  0.334  0.334
Au  0.666  0.666  0.666

Output
Calculated volume, Å³/atom: 15.8
E, eV per atom: -5.521
SG: R-3m (166)
E_form, eV per atom: -0.45